The following is a DFT calculation (PBE) of crystalline AlInS2 at its relaxed geometry.

Cell lengths 6.1233, 5.7763, 11.7994 Å; angles 90.00, 120.78, 90.00 degrees
Closest atoms and distances in Å follow each position.
Space group P2_1/c (No. 14)
Inequivalent atoms, fractional coordinates:
Al  0.2168  0.1608  0.0076 x4  3 S 2.28-2.33
In  0.3026  0.6969  0.8068 x4  3 S 2.60-2.82, 1 Al 2.75
S  0.1879  0.2375  0.8105 x4  1 Al 2.28
S  0.1925  0.7316  0.5440 x4  2 Al 2.29-2.33

Values from the calculation:
* total moment: 0.00 μB per cell
* crystal system: monoclinic
* energy relative to the elements, uncorrected: -0.645 eV/atom
* total energy: -0.159 hartree per atom

---

The following is a DFT calculation (PBE) of crystalline Tc2HgW at its relaxed geometry.

Cell lengths 3.1762, 4.4426, 4.6345 Å; angles 90.00, 90.00, 90.00 degrees
Closest atoms and distances in Å follow each position.
Space group Pmmm (No. 47)
Inequivalent atoms, fractional coordinates:
Tc  0.0000  0.0000  0.0000 x1  4 W 2.73, 4 Tc 2.81
Tc  0.5000  0.0000  0.5000 x1  4 Hg 2.73, 4 Tc 2.81
Hg  0.0000  0.5000  0.5000 x1  4 Tc 2.73, 4 W 2.81
W  0.5000  0.5000  0.0000 x1  4 Tc 2.73, 4 Hg 2.81

Values from the calculation:
* total moment: 0.00 μB per cell
* crystal system: orthorhombic
* energy of formation from the pure elements: 0.75 eV per atom
* total energy: -0.285 hartree per atom

---

The following is a DFT calculation (PBE) of crystalline PrCo12B6 at its relaxed geometry.

Cell lengths 9.4305, 9.4305, 7.4471 Å; angles 90.00, 90.00, 120.00 degrees
Closest atoms and distances in Å follow each position.
Space group R-3m (No. 166, hexagonal axes)
Inequivalent atoms, fractional coordinates:
Pr  0.0000  0.0000  0.0000 x3  6 B 3.06, 18 Co 3.12-3.25
Co  0.0000  0.3667  0.5000 x18  4 B 2.04
Co  0.0907  0.1814  0.3687 x18  3 B 2.10
B  0.0394  0.5197  0.2885 x18  7 Co 2.04-2.10

Values from the calculation:
* total moment: 20.46 μB per cell
* crystal system: trigonal
* energy of formation from the pure elements: -0.34 eV per atom
* total energy: -0.264 hartree per atom

---

Number 2 is which compound?
Tc2HgW

---

Which of these has the highest total moment?
PrCo12B6